# LaGe3Ir5 | Alexandria | PBE | relaxed
data_LaGe3Ir5
_chemical_formula_sum 'La4 Ge12 Ir20'
_cell_length_a 4.050
_cell_length_b 12.777
_cell_length_c 12.490
_cell_angle_alpha 90.00
_cell_angle_beta 90.00
_cell_angle_gamma 90.00
_symmetry_space_group_name_H-M 'C m c m'
_symmetry_Int_Tables_number 63
_symmetry_space_group_name_Hall '-C 2c 2'
loop_
_atom_site_label
_atom_site_type_symbol
_atom_site_fract_x
_atom_site_fract_y
_atom_site_fract_z
_atom_site_occupancy
La1 La 0.000 0.171 0.250 1
Ge1 Ge 0.000 0.115 0.750 1
Ge2 Ge 0.000 0.385 0.549 1
Ir1 Ir 0.000 0.000 0.000 1
Ir2 Ir 0.000 0.201 0.571 1
Ir3 Ir 0.000 0.443 0.144 1
# total magnetic moment	0.0	μB/cell
# N(E_F)	22.4	states/eV per cell
# E_tot	-7.4178	eV/atom
# ΔE_f	-39.4	kJ/mol of atoms



# La4GeIr3 | Alexandria | PBE | relaxed
data_La4GeIr3
_chemical_formula_sum 'La4 Ge1 Ir3'
_cell_length_a 4.196
_cell_length_b 4.374
_cell_length_c 10.879
_cell_angle_alpha 90.00
_cell_angle_beta 90.00
_cell_angle_gamma 90.00
_symmetry_space_group_name_H-M 'P m m 2'
_symmetry_Int_Tables_number 25
loop_
_symmetry_equiv_pos_as_xyz
'x,y,z'
'-x,-y,z'
'-x,y,z'
'x,-y,z'
loop_
_atom_site_label
_atom_site_type_symbol
_atom_site_fract_x
_atom_site_fract_y
_atom_site_fract_z
_atom_site_occupancy
La1 La 0.000 0.000 0.000 1
La2 La 0.000 0.500 0.274 1
La3 La 0.500 0.000 0.485 1
La4 La 0.500 0.500 0.775 1
Ge1 Ge 0.000 0.000 0.698 1
Ir1 Ir 0.000 0.500 0.564 1
Ir2 Ir 0.500 0.000 0.218 1
Ir3 Ir 0.500 0.500 0.042 1
# total magnetic moment	0.0	μB/cell
# N(E_F)	5.1	states/eV per cell
# E_tot	-7.1032	eV/atom
# ΔE_f	-71.3	kJ/mol of atoms



# La2GeIr | Alexandria | PBE | relaxed
data_La2GeIr
_chemical_formula_sum 'La8 Ge4 Ir4'
_cell_length_a 7.979
_cell_length_b 7.979
_cell_length_c 6.801
_cell_angle_alpha 90.00
_cell_angle_beta 90.00
_cell_angle_gamma 90.00
_symmetry_space_group_name_H-M 'I -4 2 d'
_symmetry_Int_Tables_number 122
_symmetry_space_group_name_Hall 'I -4 2bw'
loop_
_atom_site_label
_atom_site_type_symbol
_atom_site_fract_x
_atom_site_fract_y
_atom_site_fract_z
_atom_site_occupancy
La1 La 0.215 0.250 0.125 1
Ge1 Ge 0.000 0.000 0.500 1
Ir1 Ir 0.000 0.000 0.000 1
# total magnetic moment	0.0	μB/cell
# N(E_F)	12.8	states/eV per cell
# E_tot	-6.2380	eV/atom
# ΔE_f	-39.0	kJ/mol of atoms



# LaGe2Ir4 | Alexandria | PBE | relaxed
data_LaGe2Ir4
_chemical_formula_sum 'La2 Ge4 Ir8'
_cell_length_a 7.840
_cell_length_b 7.840
_cell_length_c 3.959
_cell_angle_alpha 90.00
_cell_angle_beta 90.00
_cell_angle_gamma 90.00
_symmetry_space_group_name_H-M 'P 42/m n m'
_symmetry_Int_Tables_number 136
_symmetry_space_group_name_Hall '-P 4n 2n'
loop_
_atom_site_label
_atom_site_type_symbol
_atom_site_fract_x
_atom_site_fract_y
_atom_site_fract_z
_atom_site_occupancy
La1 La 0.000 0.000 0.000 1
Ge1 Ge 0.226 0.226 0.500 1
Ir1 Ir 0.078 0.655 0.500 1
# total magnetic moment	0.0	μB/cell
# N(E_F)	6.9	states/eV per cell
# E_tot	-7.6356	eV/atom
# ΔE_f	-53.0	kJ/mol of atoms